# 1
The following is a DFT calculation (PBE) of an optimized crystal structure of Pr6Ge2RhCl3.

Calculated values
Formation energy (no corrections)   -1193 meV/atom
V   334 Å³/f.u.
Total DFT energy (no corrections)   -65.1 eV/cell
Symmetry   C2/m (12)

a b c (Å): 4.228 8.722 9.517
angles (deg): 101.99 102.83 90.00
Element x y z (fractional)
Pr: 0.345 0.903 0.689
Pr: 0.671 0.576 0.342
Pr: 0.655 0.097 0.311
Pr: 0.003 0.229 0.006
Pr: 0.997 0.771 0.994
Pr: 0.329 0.424 0.658
Ge: 0.835 0.661 0.670
Ge: 0.165 0.339 0.330
Rh: 0.500 0.000 0.000
Cl: 0.500 0.500 0.000
Cl: 0.826 0.159 0.651
Cl: 0.174 0.841 0.349

=====

# 2
The following is a DFT calculation (PBE) of an optimized crystal structure of Sm7Dy3Th2.

Calculated values
V   403 Å³/f.u.
Total DFT energy (no corrections)   -60.0 eV/cell
Energy of formation from the pure elements   1.704 eV/f.u.
Symmetry   Cmmm (65)

a b c (Å): 19.531 19.531 3.609
angles (deg): 90.00 90.00 163.00
Element x y z (fractional)
Sm: 0.729 0.271 0.500
Sm: 0.271 0.729 0.500
Sm: 0.572 0.428 0.000
Sm: 0.000 0.000 0.000
Sm: 0.428 0.572 0.000
Sm: 0.909 0.091 0.500
Sm: 0.091 0.909 0.500
Dy: 0.500 0.500 0.500
Dy: 0.185 0.815 0.000
Dy: 0.815 0.185 0.000
Th: 0.648 0.352 0.500
Th: 0.352 0.648 0.500

=====

# 3
The following is a DFT calculation (PBE) of an optimized crystal structure of KNi2SbMo.

Calculated values
Formation energy (no corrections)   1462 meV/atom
V   137 Å³/f.u.
Total DFT energy (no corrections)   -20.3 eV/cell
Symmetry   P4/mmm (123)

a b c (Å): 4.793 5.950 4.793
angles (deg): 90.00 90.00 90.00
Last column: magnetic moment on the atom in μB.
Element x y z (fractional)
Sb: 0.000 0.000 0.000  -0.05
Mo: 0.500 0.500 0.500  3.86
K: 0.000 0.500 0.000  0.03
Ni: 0.000 0.000 0.500  -0.26
Ni: 0.500 0.000 0.000  -0.38

=====

# 4
The following is a DFT calculation (PBE) of an optimized crystal structure of LaTb2Tm.

Calculated values
V   131 Å³/f.u.
Total DFT energy (no corrections)   -37.0 eV/cell
Energy of formation from the pure elements   0.161 eV/f.u.
Offset from the most stable computed form   33 meV/atom
Symmetry   I4/mmm (139)

a b c (Å): 5.085 10.153 5.088
angles (deg): 90.00 90.00 90.00
Element x y z (fractional)
La: 0.250 0.250 0.750
La: 0.750 0.750 0.250
Tb: 0.250 0.500 0.250
Tb: 0.750 0.500 0.750
Tb: 0.750 0.000 0.750
Tb: 0.250 0.000 0.250
Tm: 0.750 0.250 0.250
Tm: 0.250 0.750 0.750

=====

# 5
The following is a DFT calculation (PBE) of an optimized crystal structure of Ca2NbCu.

Calculated values
V   102 Å³/f.u.
Total DFT energy (no corrections)   -30.2 eV/cell
Energy of formation from the pure elements   3.074 eV/f.u.
Offset from the most stable computed form   113 meV/atom
Symmetry   I-42d (122)

a b c (Å): 8.269 8.269 6.571
angles (deg): 51.01 51.01 90.00
Last column: magnetic moment on the atom in μB.
Element x y z (fractional)
Nb: 0.000 0.000 0.000  2.20
Nb: 0.750 0.250 0.500  2.20
Ca: 0.574 0.125 0.250  0.09
Ca: 0.176 0.625 0.250  0.08
Ca: 0.375 0.426 0.750  0.09
Ca: 0.875 0.824 0.750  0.08
Cu: 0.500 0.500 0.000  0.07
Cu: 0.250 0.750 0.500  0.07

=====

# 6
The following is a DFT calculation (PBE) of an optimized crystal structure of TbIn3Pd.

Calculated values
V   120 Å³/f.u.
Total DFT energy (no corrections)   -40.2 eV/cell
Energy of formation from the pure elements   -2.039 eV/f.u.
Symmetry   Pmmn (59)

a b c (Å): 4.535 7.364 7.204
angles (deg): 90.00 90.00 90.00
Element x y z (fractional)
Tb: 0.750 0.250 0.245
Tb: 0.250 0.750 0.755
In: 0.750 0.750 0.069
In: 0.250 0.250 0.931
In: 0.750 0.048 0.686
In: 0.750 0.452 0.686
In: 0.250 0.952 0.314
In: 0.250 0.548 0.314
Pd: 0.750 0.750 0.449
Pd: 0.250 0.250 0.551

=====

# 7
The following is a DFT calculation (PBE) of an optimized crystal structure of NaTiCl2.

Calculated values
Formation energy (no corrections)   -1004 meV/atom
V   94 Å³/f.u.
Total DFT energy (no corrections)   -16.9 eV/cell
Offset from the most stable computed form   0 meV/atom
Symmetry   R-3m (166)

a b c (Å): 9.927 9.927 9.927
angles (deg): 19.35 19.35 19.35
Last column: magnetic moment on the atom in μB.
Element x y z (fractional)
Na: 0.000 0.000 0.000  0.00
Cl: 0.888 0.888 0.888  0.00
Cl: 0.112 0.112 0.112  0.00
Ti: 0.500 0.500 0.500  0.23

=====

# 8
The following is a DFT calculation (PBE) of an optimized crystal structure of SbP2WCl.

Calculated values
Formation energy (no corrections)   485 meV/atom
V   108 Å³/f.u.
Total DFT energy (no corrections)   -27.3 eV/cell
Offset from the most stable computed form   0 meV/atom
Symmetry   P4/mmm (123)

a b c (Å): 4.820 4.820 4.664
angles (deg): 90.00 90.00 90.00
Last column: magnetic moment on the atom in μB.
Element x y z (fractional)
Sb: 0.500 0.500 0.500  0.17
P: 0.000 0.500 0.000  -0.02
P: 0.500 0.000 0.000  -0.02
W: 0.000 0.000 0.000  0.27
Cl: 0.000 0.000 0.500  0.02

=====

# 9
The following is a DFT calculation (PBE) of an optimized crystal structure of Li6Al.

Calculated values
V   144 Å³/f.u.
Total DFT energy (no corrections)   -11.3 eV/cell
Energy of formation from the pure elements   3.883 eV/f.u.
Offset from the most stable computed form   604 meV/atom
Symmetry   Im-3m (229)

a b c (Å): 5.713 5.713 5.713
angles (deg): 109.47 109.47 109.47
Element x y z (fractional)
Li: 0.250 0.750 0.500
Li: 0.500 0.750 0.250
Li: 0.250 0.500 0.750
Li: 0.750 0.250 0.500
Li: 0.500 0.250 0.750
Li: 0.750 0.500 0.250
Al: 0.000 0.000 0.000

=====

# 10
The following is a DFT calculation (PBE) of an optimized crystal structure of PmDy3Er7.

Calculated values
V   351 Å³/f.u.
Total DFT energy (no corrections)   -48.8 eV/cell
Energy of formation from the pure elements   1.690 eV/f.u.
Offset from the most stable computed form   0 meV/atom
Symmetry   P2/m (10)

a b c (Å): 5.490 9.850 8.813
angles (deg): 105.19 128.53 90.01
Element x y z (fractional)
Pm: 0.500 0.500 0.500
Dy: 0.277 0.996 0.778
Dy: 0.000 0.500 0.000
Dy: 0.723 0.004 0.222
Er: 0.925 0.831 0.925
Er: 0.851 0.710 0.351
Er: 0.677 0.358 0.177
Er: 0.323 0.642 0.823
Er: 0.500 0.000 0.500
Er: 0.149 0.290 0.649
Er: 0.075 0.169 0.075

=====

# 11
The following is a DFT calculation (PBE) of an optimized crystal structure of GdDy2Er.

Calculated values
V   126 Å³/f.u.
Total DFT energy (no corrections)   -27.8 eV/cell
Energy of formation from the pure elements   0.090 eV/f.u.
Offset from the most stable computed form   2 meV/atom
Symmetry   P4/mmm (123)

a b c (Å): 3.540 3.540 10.028
angles (deg): 90.00 90.00 90.00
Last column: magnetic moment on the atom in μB.
Element x y z (fractional)
Gd: 0.500 0.500 0.000  7.14
Dy: 0.000 0.000 0.747  -0.04
Dy: 0.000 0.000 0.253  -0.04
Er: 0.500 0.500 0.500  -0.05

=====

# 12
The following is a DFT calculation (PBE) of an optimized crystal structure of Sr4CuSe.

Calculated values
Formation energy (no corrections)   409 meV/atom
V   250 Å³/f.u.
Total DFT energy (no corrections)   -11.9 eV/cell
Symmetry   F-43m (216)

a b c (Å): 7.073 7.073 7.073
angles (deg): 60.00 60.00 60.00
Element x y z (fractional)
Sr: 0.876 0.375 0.375
Sr: 0.375 0.375 0.876
Sr: 0.375 0.876 0.375
Sr: 0.375 0.375 0.375
Cu: 0.750 0.750 0.750
Se: 0.000 0.000 0.000